NdDy2Pu: optimized geometry, PBE.

Summary:
Formation enthalpy at 0 K (eV per atom): 0.109
Total magnetization (μB/cell): 6.11
Energy relative to the lowest polymorph listed for this composition (eV per atom): 0.006

abc: 3.5564 3.5564 11.6844
angles: 81.25 81.25 60.00
Closest atoms and distances in Å follow each position.
Element x y z (fractional)
Nd 0.5005 0.5005 0.4984  6 Nd 3.56, 6 Dy 3.59-3.62
Dy 0.0807 0.0807 0.7579  3 Pu 3.47, 6 Dy 3.56, 3 Nd 3.62
Dy 0.2526 0.2526 0.2423  3 Pu 3.45, 6 Dy 3.56, 3 Nd 3.59
Pu 0.6662 0.6662 0.0014  6 Dy 3.45-3.47, 6 Pu 3.56

---

Nd12Dy3Pu: optimized geometry, PBE.

Summary:
Formation enthalpy at 0 K (eV per atom): 0.044
Total magnetization (μB/cell): 6.42

abc: 5.1497 5.1497 20.5519
angles: 90.00 90.00 90.00
Closest atoms and distances in Å follow each position.
Element x y z (fractional)
Nd 0.5000 0.5000 0.0000  8 Nd 3.60, 4 Pu 3.64
Nd 0.5000 0.5000 0.2496  8 Nd 3.63-3.67, 4 Dy 3.64
Nd 0.5000 0.5000 0.5000  4 Dy 3.64, 8 Nd 3.65
Nd 0.5000 0.5000 0.7504  8 Nd 3.63-3.67, 4 Dy 3.64
Nd 0.5000 0.0000 0.1226  8 Nd 3.60-3.67, 2 Pu 3.60, 2 Dy 3.66
Nd 0.5000 0.0000 0.3743  8 Nd 3.63-3.65, 4 Dy 3.64-3.65
Nd 0.5000 0.0000 0.6257  8 Nd 3.63-3.65, 4 Dy 3.64-3.65
Nd 0.5000 0.0000 0.8774  8 Nd 3.60-3.67, 2 Pu 3.60, 2 Dy 3.66
Nd 0.0000 0.5000 0.1226  8 Nd 3.60-3.67, 2 Pu 3.60, 2 Dy 3.66
Nd 0.0000 0.5000 0.3743  8 Nd 3.63-3.65, 4 Dy 3.64-3.65
Nd 0.0000 0.5000 0.6257  8 Nd 3.63-3.65, 4 Dy 3.64-3.65
Nd 0.0000 0.5000 0.8774  8 Nd 3.60-3.67, 2 Pu 3.60, 2 Dy 3.66
Dy 0.0000 0.0000 0.2494  12 Nd 3.64-3.66
Dy 0.0000 0.0000 0.5000  12 Nd 3.64-3.65
Dy 0.0000 0.0000 0.7506  12 Nd 3.64-3.66
Pu 0.0000 0.0000 0.0000  12 Nd 3.60-3.64

---

Nd6Dy8Pu: optimized geometry, PBE.

Summary:
Formation enthalpy at 0 K (eV per atom): 0.115
Total magnetization (μB/cell): 6.44

abc: 8.6670 8.6670 8.6670
angles: 63.42 63.42 63.42
Closest atoms and distances in Å follow each position.
Element x y z (fractional)
Nd 0.8939 0.4547 0.7758  4 Dy 3.41-3.65, 1 Pu 3.41, 4 Nd 3.59-3.72
Nd 0.2242 0.1061 0.5453  4 Dy 3.41-3.65, 1 Pu 3.41, 4 Nd 3.59-3.72
Nd 0.5453 0.2242 0.1061  4 Dy 3.41-3.65, 1 Pu 3.41, 4 Nd 3.59-3.72
Nd 0.4547 0.7758 0.8939  4 Dy 3.41-3.65, 1 Pu 3.41, 4 Nd 3.59-3.72
Nd 0.7758 0.8939 0.4547  4 Dy 3.41-3.65, 1 Pu 3.41, 4 Nd 3.59-3.72
Nd 0.1061 0.5453 0.2242  4 Dy 3.41-3.65, 1 Pu 3.41, 4 Nd 3.59-3.72
Dy 0.1112 0.7155 0.7537  3 Nd 3.41-3.65, 5 Dy 3.44-3.46, 1 Pu 3.51
Dy 0.2463 0.8888 0.2845  3 Nd 3.41-3.65, 5 Dy 3.44-3.46, 1 Pu 3.51
Dy 0.2845 0.2463 0.8888  3 Nd 3.41-3.65, 5 Dy 3.44-3.46, 1 Pu 3.51
Dy 0.5764 0.5764 0.5764  4 Dy 3.16-3.44, 3 Nd 3.42
Dy 0.4236 0.4236 0.4236  4 Dy 3.16-3.44, 3 Nd 3.42
Dy 0.7155 0.7537 0.1112  3 Nd 3.41-3.65, 5 Dy 3.44-3.46, 1 Pu 3.51
Dy 0.7537 0.1112 0.7155  3 Nd 3.41-3.65, 5 Dy 3.44-3.46, 1 Pu 3.51
Dy 0.8888 0.2845 0.2463  3 Nd 3.41-3.65, 5 Dy 3.44-3.46, 1 Pu 3.51
Pu 0.0000 0.0000 0.0000  6 Nd 3.41, 6 Dy 3.51

---

Nd2DyPuS4: optimized geometry, PBE.

Summary:
Formation energy without anion corrections (eV/atom): -1.970
Total magnetization (μB/cell): 5.68

abc: 3.9795 6.9208 6.9595
angles: 109.16 90.00 90.00
Closest atoms and distances in Å follow each position.
Element x y z (fractional)
Nd 0.5000 0.0000 0.5000  6 S 2.88-2.89
Nd 0.0000 0.5000 0.5000  6 S 2.87
Dy 0.5000 0.5000 0.0000  6 S 2.77
Pu 0.0000 0.0000 0.0000  6 S 2.79
S 0.5000 0.2476 0.2381  1 Dy 2.77, 2 Pu 2.79, 3 Nd 2.87-2.88
S 0.5000 0.7524 0.7619  1 Dy 2.77, 2 Pu 2.79, 3 Nd 2.87-2.88
S 0.0000 0.2565 0.7631  2 Dy 2.77, 1 Pu 2.79, 3 Nd 2.87-2.89
S 0.0000 0.7435 0.2369  2 Dy 2.77, 1 Pu 2.79, 3 Nd 2.87-2.89

---

Nd3Dy2PuS6: optimized geometry, PBE.

Summary:
Formation energy without anion corrections (eV/atom): -1.986
Total magnetization (μB/cell): 5.70

abc: 6.9008 6.9008 6.9577
angles: 99.52 99.52 120.04
Closest atoms and distances in Å follow each position.
Element x y z (fractional)
Nd 0.1668 0.8332 0.5000  6 S 2.86-2.89
Nd 0.8332 0.1668 0.5000  6 S 2.86-2.89
Nd 0.5000 0.5000 0.5000  6 S 2.87-2.88
Dy 0.3328 0.6672 0.0000  6 S 2.77
Dy 0.6672 0.3328 0.0000  6 S 2.77
Pu 0.0000 0.0000 0.0000  6 S 2.79
S 0.9209 0.5855 0.7629  2 Dy 2.77, 1 Pu 2.79, 3 Nd 2.86-2.88
S 0.7431 0.7431 0.2361  2 Dy 2.77, 1 Pu 2.79, 3 Nd 2.87-2.89
S 0.0791 0.4145 0.2371  2 Dy 2.77, 1 Pu 2.79, 3 Nd 2.86-2.88
S 0.5855 0.9209 0.7629  2 Dy 2.77, 1 Pu 2.79, 3 Nd 2.86-2.88
S 0.2569 0.2569 0.7639  2 Dy 2.77, 1 Pu 2.79, 3 Nd 2.87-2.89
S 0.4145 0.0791 0.2371  2 Dy 2.77, 1 Pu 2.79, 3 Nd 2.86-2.88

---

Nd2Dy3PuS6: optimized geometry, PBE.

Summary:
Formation energy without anion corrections (eV/atom): -1.986
Total magnetization (μB/cell): 5.89

abc: 3.9408 7.9970 8.8904
angles: 103.50 102.80 90.00
Closest atoms and distances in Å follow each position.
Element x y z (fractional)
Nd 0.8346 0.6686 0.6691  6 S 2.85-2.88
Nd 0.1654 0.3314 0.3309  6 S 2.85-2.88
Dy 0.5000 0.5000 0.0000  6 S 2.76-2.79
Dy 0.8330 0.1641 0.6660  6 S 2.74-2.78
Dy 0.1670 0.8359 0.3340  6 S 2.74-2.78
Pu 0.5000 0.0000 0.0000  6 S 2.82-2.83
S 0.3323 0.9253 0.6646  3 Dy 2.74-2.78, 1 Pu 2.82, 2 Nd 2.85
S 0.6637 0.5923 0.3274  3 Dy 2.76, 3 Nd 2.88
S 0.6677 0.0747 0.3354  3 Dy 2.74-2.78, 1 Pu 2.82, 2 Nd 2.85
S 0.9963 0.2514 0.9926  3 Dy 2.75-2.79, 2 Pu 2.83, 1 Nd 2.85
S 0.0037 0.7486 0.0074  3 Dy 2.75-2.79, 2 Pu 2.83, 1 Nd 2.85
S 0.3363 0.4077 0.6726  3 Dy 2.76, 3 Nd 2.88

---

Nd4Dy3PuS8: optimized geometry, PBE.

Summary:
Formation energy without anion corrections (eV/atom): -1.993
Total magnetization (μB/cell): 5.62

abc: 7.9608 8.0146 7.9607
angles: 119.78 120.00 90.00
Closest atoms and distances in Å follow each position.
Element x y z (fractional)
Nd 0.5000 0.0000 0.0000  6 S 2.87
Nd 0.5000 0.0000 0.5000  6 S 2.88
Nd 0.0000 0.0000 0.0000  6 S 2.88
Nd 0.0000 0.0000 0.5000  6 S 2.88
Dy 0.5000 0.5000 0.0000  6 S 2.77
Dy 0.5000 0.5000 0.5000  6 S 2.77
Dy 0.0000 0.5000 0.5000  6 S 2.77
Pu 0.0000 0.5000 0.0000  6 S 2.78
S 0.2464 0.7364 0.9900  2 Dy 2.77, 1 Pu 2.78, 3 Nd 2.87-2.88
S 0.2464 0.7364 0.4927  2 Dy 2.77, 1 Pu 2.78, 3 Nd 2.87-2.88
S 0.2551 0.2653 0.5102  3 Dy 2.77, 3 Nd 2.88
S 0.7436 0.7364 0.9900  2 Dy 2.77, 1 Pu 2.78, 3 Nd 2.87-2.88
S 0.2564 0.2636 0.0100  2 Dy 2.77, 1 Pu 2.78, 3 Nd 2.87-2.88
S 0.7449 0.7347 0.4898  3 Dy 2.77, 3 Nd 2.88
S 0.7536 0.2636 0.5073  2 Dy 2.77, 1 Pu 2.78, 3 Nd 2.87-2.88
S 0.7536 0.2636 0.0100  2 Dy 2.77, 1 Pu 2.78, 3 Nd 2.87-2.88

---

Nd3Dy3PuS8: optimized geometry, PBE.

Summary:
Formation energy without anion corrections (eV/atom): -2.000
Total magnetization (μB/cell): 6.20

abc: 7.9330 7.9334 7.9947
angles: 119.75 90.00 120.00
Closest atoms and distances in Å follow each position.
Element x y z (fractional)
Nd 0.0000 0.0000 0.0000  6 S 2.87
Nd 0.0000 0.5000 0.0000  6 S 2.87
Nd 0.5000 0.5000 0.0000  6 S 2.87
Dy 0.5000 0.0000 0.5000  6 S 2.76
Dy 0.5000 0.5000 0.5000  6 S 2.76
Dy 0.0000 0.5000 0.5000  6 S 2.76
Pu 0.0000 0.0000 0.5000  6 S 2.81
S 0.2547 0.5093 0.2640  3 Dy 2.76, 3 Nd 2.87
S 0.7453 0.4907 0.7360  3 Dy 2.76, 3 Nd 2.87
S 0.7505 0.5009 0.2601  2 Dy 2.76, 1 Pu 2.81, 2 Nd 2.87
S 0.2495 0.4991 0.7399  2 Dy 2.76, 1 Pu 2.81, 2 Nd 2.87
S 0.7505 0.0096 0.2601  2 Dy 2.76, 1 Pu 2.81, 2 Nd 2.87
S 0.2495 0.9904 0.7399  2 Dy 2.76, 1 Pu 2.81, 2 Nd 2.87
S 0.2592 0.0096 0.2601  2 Dy 2.76, 1 Pu 2.81, 2 Nd 2.87
S 0.7408 0.9904 0.7399  2 Dy 2.76, 1 Pu 2.81, 2 Nd 2.87